A relaxed Cs4Hg16Au3 crystal. Source: Alexandria via LeMat-Bulk, functional PBE.

Density of states at the Fermi level: 6.64 states/eV/cell
Formation energy: -3.7 eV per formula unit

Lattice parameters (Å, degrees): 7.2026 7.7538 13.5178 87.06 88.25 89.82
Closest atoms and distances in Å follow each position.
Element x y z (fractional)
Cs1 0.0119 0.0468 0.3023  12 Hg 3.73-4.10, 1 Au 4.12
Cs2 0.4864 0.5969 0.7173  12 Hg 3.68-4.03, 1 Au 3.86
Cs3 0.5136 0.4031 0.2827  12 Hg 3.68-4.03, 1 Au 3.86
Cs4 0.9881 0.9532 0.6977  12 Hg 3.73-4.10, 1 Au 4.12
Hg1 0.0100 0.5458 0.2944  5 Hg 3.20-3.47
Hg2 0.1113 0.6521 0.9184  2 Au 3.06-3.24, 2 Hg 3.12-3.32
Hg3 0.2213 0.2476 0.8720  1 Au 2.95, 3 Hg 3.09-3.20
Hg4 0.2427 0.7038 0.4742  1 Au 3.00, 2 Hg 3.20-3.28
Hg5 0.2439 0.2976 0.5279  1 Au 2.98, 2 Hg 3.20-3.26
Hg6 0.2709 0.7346 0.1225  2 Au 2.98-3.26, 4 Hg 3.12-3.26
Hg7 0.3729 0.1417 0.0781  2 Au 3.05-3.14, 2 Hg 3.09-3.26
Hg8 0.4941 0.0967 0.7111  1 Au 2.99, 2 Hg 3.15-3.19
Hg9 0.5059 0.9033 0.2889  1 Au 2.99, 2 Hg 3.15-3.19
Hg10 0.6271 0.8583 0.9219  2 Au 3.05-3.14, 2 Hg 3.09-3.26
Hg11 0.7291 0.2654 0.8775  2 Au 2.98-3.26, 4 Hg 3.12-3.26
Hg12 0.7561 0.7024 0.4721  1 Au 2.98, 2 Hg 3.20-3.26
Hg13 0.7573 0.2962 0.5258  1 Au 3.00, 2 Hg 3.20-3.28
Hg14 0.7787 0.7524 0.1280  1 Au 2.95, 3 Hg 3.09-3.20
Hg15 0.8887 0.3479 0.0816  2 Au 3.06-3.24, 2 Hg 3.12-3.32
Hg16 0.9900 0.4542 0.7056  5 Hg 3.20-3.47
Au1 0.0000 0.0000 0.0000  8 Hg 2.95-3.26
Au2 0.5000 0.0000 0.5000  6 Hg 2.98-3.00
Au3 0.5000 0.5000 0.0000  6 Hg 2.98-3.24

---

A relaxed CsHgAu crystal. Source: Alexandria via LeMat-Bulk, functional PBE.

Formation energy: -0.5 eV per formula unit
Energy above the lowest structure with this stoichiometry: 0.126 eV per atom

Lattice parameters (Å, degrees): 4.8580 4.8580 10.4550 90.00 90.00 90.00
Closest atoms and distances in Å follow each position.
Element x y z (fractional)
Cs1 0.0000 0.0000 0.0000  5 Hg 3.57-3.81, 5 Au 3.74-3.76
Cs2 0.5000 0.5000 0.5000  5 Hg 3.57-3.81, 5 Au 3.74-3.76
Hg1 0.0000 0.0000 0.3418  1 Au 3.12
Hg2 0.5000 0.5000 0.8418  1 Au 3.12
Au1 0.0000 0.0000 0.6403  1 Hg 3.12
Au2 0.5000 0.5000 0.1403  1 Hg 3.12